Below is Pm4PrGa3 after structural relaxation, with properties calculated at the PBE level.

## Properties
The formation energy comes out at -0.4425 eV per atom. The total energy comes out at -4.550 eV/atom.

Structure (CIF):
```
data_Pm4PrGa3
_space_group_name_H-M_alt 'I 4/m c m'
_space_group_IT_number 140
_space_group_name_Hall '-I 4 2c'
_cell_length_a 12.0258
_cell_length_b 12.0258
_cell_length_c 6.0930
_cell_angle_alpha 90.00
_cell_angle_beta 90.00
_cell_angle_gamma 90.00
loop_
_atom_site_label
_atom_site_type_symbol
_atom_site_fract_x
_atom_site_fract_y
_atom_site_fract_z
Pm1 Pm 0.0869 0.2134 0.0000
Pr1 Pr 0.0000 0.5000 0.2500
Ga1 Ga 0.0000 0.0000 0.2500
Ga2 Ga 0.1604 0.3396 0.5000
```